{"formula": "Ta2ReWF", "functional": "PBE+U", "state": "relaxed", "sg": "P4/mmm (123)", "dft_energy_ha_per_atom": -0.27846, "crystal_system": "tetragonal", "lattice_angstrom": [[-3.871, -2.530, -1.527], [2.915, -2.481, -3.279], [0.894, -3.401, 3.369]], "species": ["F", "Re", "Ta", "Ta", "W"], "frac_coords": [[0.500, 0.500, 0.500], [0.000, 0.000, 0.000], [0.000, 0.000, 0.500], [0.500, 0.000, 0.000], [0.000, 0.500, 0.000]]}